Version i
Density functional theory data (GGA-PBE) for an optimized crystal structure of PuHgCl3.

Properties
Total magnetic moment = 30.00 Bohr magnetons per cell
V = 1301.4 Å³/cell

Cell: 7.1354 7.1354 29.5154 Å, 90.00 90.00 120.00°
Space group R-3 (No. 148, hexagonal axes)
One atom of each set of equivalent atoms:
Pu (0.0000, 0.0000, 0.1670)
Hg (0.0000, 0.0000, 0.3388)
Cl (0.0011, 0.6318, 0.5508)

Version ii
Density functional theory data (GGA-PBE) for an optimized crystal structure of PuHgCl3.

Properties
Total magnetic moment = 5.00 Bohr magnetons per cell
V = 162.2 Å³/cell

Cell: 5.454 5.454 5.454 Å, 90.00 90.00 90.00°
Space group Pm-3m (No. 221)
One atom of each set of equivalent atoms:
Pu (0.000, 0.000, 0.000)
Hg (0.500, 0.500, 0.500)
Cl (0.000, 0.000, 0.500)

Most stable structure, least stable structure: version i, version ii.